MnSn2I2O2 after structural relaxation, computed with PBE with a Hubbard U.

```
7
Lattice="3.9337 0.0000 0.0000 1.9668 6.1764 -0.2093 1.9668 2.1718 7.4506" Properties=species:S:1:pos:R:3 pbc="T T T"
O 3.9337 2.1139 0.3179
O 3.9337 6.2343 6.9234
Mn 0.0000 0.0000 0.0000
I 3.9337 2.5803 5.2421
I 3.9337 5.7679 1.9992
Sn 5.9005 5.4269 5.8985
Sn 1.9668 2.9213 1.3428
```

Results
Fermi-level density of states ... 0.000 states/eV/atom
SG ... C2/m, No. 12
Total DFT energy (no corrections) ... -5.098 eV per atom
Magnetization ... 5.00 μB/cell